# U5Mn2S12

A relaxed U5Mn2S12 crystal (GGA-PBE, Alexandria via LeMat-Bulk).

Values from the calculation:
* crystal system: monoclinic
* raw formation energy: -1.178 eV per atom
* magnetization: 40.1 Bohr magnetons per cell

a = 15.090 Å, b = 6.940 Å, c = 8.476 Å
α = 90.00°, β = 106.52°, γ = 90.00°
Space group C2/m (No. 12)
Inequivalent atoms, fractional coordinates:
1 U 0.000 0.000 0.000 x2
2 U 0.184 0.500 0.343 x4
3 U 0.198 0.500 0.850 x4
4 Mn 0.000 0.251 0.500 x4
5 S 0.003 0.500 0.715 x4
6 S 0.004 0.000 0.303 x4
7 S 0.150 0.249 0.069 x8
8 S 0.170 0.254 0.592 x8